ReNiN2O PBE with a Hubbard U relaxed; total moment = 1.69 μB per formula unit; density = 8241 kg/m3; DFT total energy = -6.94 eV/atom
1.0
3.908 0.000 0.000
0.000 3.908 0.000
0.000 0.000 3.811
Re N O Ni
1 2 1 1
Cartesian
0.000 0.000 0.000 Re
0.000 1.954 0.000 N
1.954 0.000 0.000 N
0.000 0.000 1.906 O
1.954 1.954 1.906 Ni